A relaxed Ca2MnSiF crystal. Source: Alexandria via LeMat-Bulk, functional PBE with a Hubbard U.

a = 4.681 Å, b = 4.362 Å, c = 4.681 Å
α = 90.00°, β = 90.00°, γ = 90.00°
Site moments in Bohr magnetons follow the coordinates.
Atoms (fractional coordinates):
Ca (0.000, 0.000, 0.500)  -0.02
Ca (0.500, 0.000, 0.000)  -0.01
Mn (0.000, 0.500, 0.000)  1.08
Si (0.500, 0.500, 0.500)  0.03
F (0.000, 0.000, 0.000)  -0.02

Output
magnetization: 0.22 μB/atom
electronic total energy: -0.1470 Ha/atom
V: 95.6 Å³ per cell


A relaxed CaMnSnF6 crystal. Source: Alexandria via LeMat-Bulk, functional PBE with a Hubbard U.

a = 5.247 Å, b = 5.247 Å, c = 10.762 Å
α = 90.00°, β = 90.00°, γ = 90.00°
Site moments in Bohr magnetons follow the coordinates.
Atoms (fractional coordinates):
Ca (0.500, 0.500, 0.168)  0.00
Ca (0.000, 0.000, 0.668)  0.00
Mn (0.500, 0.500, 0.833)  4.70
Mn (0.000, 0.000, 0.333)  4.70
Sn (0.500, 0.500, 0.499)  0.01
Sn (0.000, 0.000, 0.999)  0.01
F (0.180, 0.820, 0.493)  0.02
F (0.820, 0.180, 0.493)  0.02
F (0.320, 0.320, 0.993)  0.02
F (0.680, 0.680, 0.993)  0.02
F (0.193, 0.807, 0.182)  0.02
F (0.807, 0.193, 0.182)  0.02
F (0.307, 0.307, 0.682)  0.02
F (0.693, 0.693, 0.682)  0.02
F (0.792, 0.208, 0.825)  0.02
F (0.208, 0.792, 0.825)  0.02
F (0.708, 0.708, 0.325)  0.02
F (0.292, 0.292, 0.325)  0.02

Output
magnetization: 0.56 μB/atom
electronic total energy: -0.2085 Ha/atom
V: 296.3 Å³ per cell


A relaxed SrCaMnF2 crystal. Source: Alexandria via LeMat-Bulk, functional PBE with a Hubbard U.

a = 4.632 Å, b = 8.967 Å, c = 4.632 Å
α = 90.00°, β = 90.00°, γ = 90.00°
Site moments in Bohr magnetons follow the coordinates.
Atoms (fractional coordinates):
Sr (0.000, 0.000, 0.000)  0.00
Ca (0.000, 0.500, 0.000)  -0.05
Mn (0.500, 0.500, 0.500)  4.61
F (0.000, 0.000, 0.500)  0.00
F (0.500, 0.000, 0.000)  0.00

Output
magnetization: 0.99 μB/atom
electronic total energy: -0.1664 Ha/atom
V: 192.4 Å³ per cell


A relaxed Ca2MnTlF crystal. Source: Alexandria via LeMat-Bulk, functional PBE with a Hubbard U.

a = 6.011 Å, b = 5.206 Å, c = 6.011 Å
α = 90.00°, β = 90.00°, γ = 90.00°
Site moments in Bohr magnetons follow the coordinates.
Atoms (fractional coordinates):
Tl (0.000, 0.000, 0.000)  -0.04
Mn (0.000, 0.500, 0.000)  4.58
Ca (0.000, 0.000, 0.500)  0.00
Ca (0.500, 0.000, 0.000)  0.00
F (0.500, 0.500, 0.500)  0.01

Output
magnetization: 0.98 μB/atom
electronic total energy: -0.1245 Ha/atom
V: 188.2 Å³ per cell


A relaxed CaMn3Tl4F12 crystal. Source: Alexandria via LeMat-Bulk, functional PBE with a Hubbard U.

a = 7.554 Å, b = 7.554 Å, c = 7.554 Å
α = 109.47°, β = 109.47°, γ = 109.47°
Site moments in Bohr magnetons follow the coordinates.
Atoms (fractional coordinates):
Ca (0.000, 0.000, 0.000)  0.01
Mn (0.500, 0.000, 0.500)  4.70
Mn (0.500, 0.500, 0.000)  4.70
Mn (0.000, 0.500, 0.500)  4.70
Tl (0.500, 0.500, 0.500)  0.00
Tl (0.000, 0.000, 0.500)  0.00
Tl (0.500, 0.000, 0.000)  0.00
Tl (0.000, 0.500, 0.000)  0.00
F (0.250, 0.500, 0.750)  0.04
F (0.743, 0.000, 0.743)  0.02
F (0.257, 0.000, 0.257)  0.02
F (0.750, 0.500, 0.250)  0.04
F (0.743, 0.743, 0.000)  0.02
F (0.257, 0.257, 0.000)  0.02
F (0.750, 0.250, 0.500)  0.04
F (0.250, 0.750, 0.500)  0.04
F (0.500, 0.250, 0.750)  0.04
F (0.000, 0.743, 0.743)  0.02
F (0.500, 0.750, 0.250)  0.04
F (0.000, 0.257, 0.257)  0.02

Output
magnetization: 0.75 μB/atom
electronic total energy: -0.1963 Ha/atom
V: 331.8 Å³ per cell


A relaxed CaMn3Tl2F12 crystal. Source: Alexandria via LeMat-Bulk, functional PBE with a Hubbard U.

a = 7.376 Å, b = 7.376 Å, c = 7.376 Å
α = 63.81°, β = 63.81°, γ = 63.81°
Site moments in Bohr magnetons follow the coordinates.
Atoms (fractional coordinates):
Ca (0.000, 0.000, 0.000)  0.00
Mn (0.500, 0.000, 0.000)  4.19
Mn (0.000, 0.500, 0.000)  4.19
Mn (0.000, 0.000, 0.500)  4.19
Tl (0.631, 0.631, 0.631)  0.00
Tl (0.369, 0.369, 0.369)  0.00
F (0.298, 0.298, 0.920)  0.03
F (0.902, 0.902, 0.366)  -0.02
F (0.366, 0.902, 0.902)  -0.02
F (0.920, 0.298, 0.298)  0.03
F (0.902, 0.366, 0.902)  -0.02
F (0.298, 0.920, 0.298)  0.03
F (0.702, 0.702, 0.080)  0.03
F (0.098, 0.098, 0.634)  -0.02
F (0.634, 0.098, 0.098)  -0.02
F (0.080, 0.702, 0.702)  0.03
F (0.098, 0.634, 0.098)  -0.02
F (0.702, 0.080, 0.702)  0.03

Output
magnetization: 0.72 μB/atom
electronic total energy: -0.2008 Ha/atom
V: 307.7 Å³ per cell


A relaxed CaMn2Tl3F9 crystal. Source: Alexandria via LeMat-Bulk, functional PBE with a Hubbard U.

a = 6.183 Å, b = 6.183 Å, c = 7.598 Å
α = 90.00°, β = 90.00°, γ = 120.00°
Site moments in Bohr magnetons follow the coordinates.
Atoms (fractional coordinates):
Ca (0.000, 0.000, 0.500)  0.01
Mn (0.333, 0.667, 0.163)  4.69
Mn (0.667, 0.333, 0.837)  4.69
Tl (0.333, 0.667, 0.677)  0.00
Tl (0.000, 0.000, 0.000)  0.00
Tl (0.667, 0.333, 0.323)  0.00
F (0.829, 0.171, 0.675)  0.02
F (0.829, 0.659, 0.675)  0.02
F (0.341, 0.171, 0.675)  0.02
F (0.659, 0.829, 0.325)  0.02
F (0.171, 0.341, 0.325)  0.02
F (0.171, 0.829, 0.325)  0.02
F (0.500, 0.000, 0.000)  0.04
F (0.000, 0.500, 0.000)  0.04
F (0.500, 0.500, 0.000)  0.04

Output
magnetization: 0.67 μB/atom
electronic total energy: -0.1952 Ha/atom
V: 251.5 Å³ per cell


A relaxed CaMnVF6 crystal. Source: Alexandria via LeMat-Bulk, functional PBE with a Hubbard U.

a = 5.615 Å, b = 5.615 Å, c = 9.187 Å
α = 90.00°, β = 90.00°, γ = 120.00°
Site moments in Bohr magnetons follow the coordinates.
Atoms (fractional coordinates):
Ca (0.333, 0.667, 0.250)  0.01
Ca (0.667, 0.333, 0.750)  0.01
Mn (0.000, 0.000, 0.000)  4.71
Mn (0.000, 0.000, 0.500)  4.71
V (0.667, 0.333, 0.250)  2.76
V (0.333, 0.667, 0.750)  2.76
F (0.683, 0.663, 0.127)  0.02
F (0.979, 0.317, 0.127)  0.02
F (0.317, 0.979, 0.627)  0.02
F (0.021, 0.683, 0.873)  0.02
F (0.337, 0.317, 0.373)  0.02
F (0.979, 0.663, 0.373)  0.02
F (0.663, 0.979, 0.873)  0.02
F (0.683, 0.021, 0.373)  0.02
F (0.021, 0.337, 0.627)  0.02
F (0.337, 0.021, 0.127)  0.02
F (0.663, 0.683, 0.627)  0.02
F (0.317, 0.337, 0.873)  0.02

Output
magnetization: 0.89 μB/atom
electronic total energy: -0.2269 Ha/atom
V: 250.8 Å³ per cell


A relaxed CaMoF2 crystal. Source: Alexandria via LeMat-Bulk, functional PBE with a Hubbard U.

a = 6.315 Å, b = 6.315 Å, c = 6.315 Å
α = 38.70°, β = 38.70°, γ = 38.70°
Site moments in Bohr magnetons follow the coordinates.
Atoms (fractional coordinates):
Mo (0.500, 0.500, 0.500)  3.96
Ca (0.000, 0.000, 0.000)  -0.03
F (0.877, 0.877, 0.877)  0.04
F (0.123, 0.123, 0.123)  0.04

Output
magnetization: 1.10 μB/atom
offset from the most stable computed form: 0.573 eV/atom
V: 88.5 Å³ per cell


A relaxed CaMoF2 crystal. Source: Alexandria via LeMat-Bulk, functional PBE with a Hubbard U.

a = 5.904 Å, b = 5.904 Å, c = 6.966 Å
α = 64.93°, β = 64.93°, γ = 90.00°
Site moments in Bohr magnetons follow the coordinates.
Atoms (fractional coordinates):
Mo (0.000, 0.000, 0.000)  4.29
Mo (0.750, 0.250, 0.500)  4.29
Ca (0.500, 0.500, 0.000)  0.01
Ca (0.250, 0.750, 0.500)  0.01
F (0.511, 0.125, 0.250)  0.05
F (0.239, 0.625, 0.250)  0.04
F (0.375, 0.489, 0.750)  0.05
F (0.875, 0.761, 0.750)  0.05

Output
magnetization: 1.39 μB/atom
offset from the most stable computed form: 0.243 eV/atom
V: 194.4 Å³ per cell


A relaxed CaMo3F crystal. Source: Alexandria via LeMat-Bulk, functional PBE with a Hubbard U.

a = 6.031 Å, b = 6.031 Å, c = 6.031 Å
α = 90.00°, β = 90.00°, γ = 90.00°
Site moments in Bohr magnetons follow the coordinates.
Atoms (fractional coordinates):
Mo (0.000, 0.500, 0.000)  4.09
Mo (0.000, 0.000, 0.500)  4.06
Mo (0.500, 0.000, 0.000)  4.14
Ca (0.000, 0.000, 0.000)  0.17
F (0.500, 0.500, 0.500)  -0.04

Output
magnetization: 3.00 μB/atom
offset from the most stable computed form: 1.166 eV/atom
V: 219.4 Å³ per cell


A relaxed CaMo3F crystal. Source: Alexandria via LeMat-Bulk, functional PBE with a Hubbard U.

a = 4.991 Å, b = 4.991 Å, c = 4.991 Å
α = 90.00°, β = 90.00°, γ = 90.00°
Site moments in Bohr magnetons follow the coordinates.
Atoms (fractional coordinates):
Mo (0.000, 0.500, 0.000)  3.90
Mo (0.000, 0.000, 0.500)  4.01
Mo (0.500, 0.000, 0.000)  3.55
Ca (0.500, 0.500, 0.500)  -0.03
F (0.000, 0.000, 0.000)  0.04

Output
magnetization: 2.62 μB/atom
offset from the most stable computed form: 0.000 eV/atom
V: 124.3 Å³ per cell